PBE with a Hubbard U MnAlCoO, relaxed; DOS at the Fermi energy = 0.36 states/eV per atom; calculated density = 5043 kg/m3; energy above the lowest structure with this stoichiometry = 0.065 eV per atom; magnetic moment = 5.4 μB per formula unit; space group = Pmm2, No. 25
1.0
2.721 0.000 0.000
0.000 3.130 0.000
0.000 0.000 6.065
Mn Al Co O
1 1 1 1
Direct
0.000 0.000 0.000 Mn
0.000 0.000 0.512 Al
0.500 0.500 0.268 Co
0.500 0.000 0.720 O